First-principles (GGA-PBE) data for crystalline CaY2Ga at its relaxed geometry, as listed in the Alexandria database.

Its formation energy is -0.173 eV per atom. The value obtained for the energy is -18.6 eV/cell.

abc: 4.8575 4.8575 4.6721
angles: 90.00 90.00 90.00
Last column: nearest neighbours and their distance in Å.
Element x y z (fractional)
1 Ca 0.0000 0.0000 0.0000  8 Y 3.37, 4 Ga 3.43
2 Y 0.0000 0.5000 0.5000  4 Ga 3.37, 4 Ca 3.37, 4 Y 3.43
3 Y 0.5000 0.0000 0.5000  4 Ga 3.37, 4 Ca 3.37, 4 Y 3.43
4 Ga 0.5000 0.5000 0.0000  8 Y 3.37, 4 Ca 3.43

First-principles (GGA-PBE) data for crystalline RbNbTl at its relaxed geometry, as listed in the Alexandria database.

Its formation energy is 0.828 eV per atom. Its excess energy over the best structure of this formula in the dataset is 0.578 eV per atom. The value obtained for the energy is -21.8 eV/cell.

abc: 3.1343 3.1343 17.1132
angles: 90.00 90.00 90.00
Last column: nearest neighbours and their distance in Å.
Element x y z (fractional)
1 Rb 0.0000 0.0000 0.0000  4 Rb 3.13
2 Rb 0.5000 0.5000 0.5000  4 Rb 3.13
3 Nb 0.0000 0.0000 0.3054  4 Nb 3.13, 4 Tl 3.14
4 Nb 0.5000 0.5000 0.8054  4 Nb 3.13, 4 Tl 3.14
5 Tl 0.0000 0.0000 0.6753  4 Tl 3.13, 4 Nb 3.14
6 Tl 0.5000 0.5000 0.1753  4 Tl 3.13, 4 Nb 3.14

First-principles (GGA-PBE) data for crystalline TlIn4Te at its relaxed geometry, as listed in the Alexandria database.

For the uncorrected formation energy, the calculation gives 0.034 eV per atom. The value obtained for the energy is -16.3 eV/cell.

abc: 6.3557 6.3557 6.3557
angles: 60.00 60.00 60.00
Last column: nearest neighbours and their distance in Å.
Element x y z (fractional)
1 Tl 0.0000 0.0000 0.0000  12 In 3.73, 4 Te 3.89
2 In 0.1249 0.6250 0.6250  6 In 3.18
3 In 0.6250 0.1249 0.6250  6 In 3.18
4 In 0.6250 0.6250 0.1249  6 In 3.18
5 In 0.6250 0.6250 0.6250  6 In 3.18
6 Te 0.2500 0.2500 0.2500  12 In 3.73, 4 Tl 3.89